[1]
! Cr8Pt (GGA-PBE, optimized geometry); values from VASP
! * DFT formation energy: 46 meV per atom
! * VASP energy: -9.18 eV per atom
! * space group: I4/mmm, No. 139
! * crystal system: tetragonal
&SYSTEM
  ibrav = 0, nat = 9, ntyp = 2
/
ATOMIC_SPECIES
Cr 52.00 Cr.upf
Pt 195.08 Pt.upf
CELL_PARAMETERS angstrom
-4.342 4.342 1.451
4.342 -4.342 1.451
4.342 4.342 -1.451
ATOMIC_POSITIONS angstrom
Cr 2.920 0.000 0.000
Cr 5.764 0.000 0.000
Cr 2.797 2.797 0.000
Cr 1.545 -1.545 1.451
Cr 0.000 2.920 0.000
Cr 0.000 5.764 0.000
Cr -1.545 1.545 1.451
Cr 1.545 1.545 1.451
Pt 0.000 0.000 0.000

---

[2]
! LaMg2Ru (GGA-PBE, optimized geometry); values from VASP
! * DFT formation energy: -39 meV per atom
! * VASP energy: -4.39 eV per atom
! * space group: Cm, No. 8
! * crystal system: monoclinic
&SYSTEM
  ibrav = 0, nat = 4, ntyp = 3
/
ATOMIC_SPECIES
La 138.91 La.upf
Mg 24.30 Mg.upf
Ru 101.07 Ru.upf
CELL_PARAMETERS angstrom
4.805 -1.959 0.000
4.805 1.959 0.000
-2.958 0.000 5.203
ATOMIC_POSITIONS angstrom
La 0.000 0.000 0.000
Mg -0.093 0.000 3.279
Mg 2.768 0.000 1.950
Ru 5.611 0.000 1.668

---

[3]
! PuMg2Cd6 (GGA-PBE, optimized geometry); values from VASP
! * DFT formation energy: -72 meV per atom
! * VASP energy: -2.63 eV per atom
! * space group: C2/m, No. 12
! * crystal system: monoclinic
&SYSTEM
  ibrav = 0, nat = 9, ntyp = 3
/
ATOMIC_SPECIES
Pu 244.00 Pu.upf
Mg 24.30 Mg.upf
Cd 112.41 Cd.upf
CELL_PARAMETERS angstrom
7.692 -4.444 0.000
7.692 4.444 0.000
-0.043 0.000 3.046
ATOMIC_POSITIONS angstrom
Pu 0.000 0.000 0.000
Mg 5.087 0.000 3.046
Mg 10.253 0.000 0.001
Cd 2.575 1.499 1.560
Cd 12.766 -1.499 1.487
Cd 2.575 -1.499 1.560
Cd 7.670 1.446 1.523
Cd 12.766 1.499 1.487
Cd 7.670 -1.446 1.523

---

[4]
! La2Nd2Sm4Dy (GGA-PBE, optimized geometry); values from VASP
! * DFT formation energy: 9 meV per atom
! * VASP energy: -4.75 eV per atom
! * space group: C2/m, No. 12
! * crystal system: monoclinic
&SYSTEM
  ibrav = 0, nat = 9, ntyp = 4
/
ATOMIC_SPECIES
La 138.91 La.upf
Nd 144.24 Nd.upf
Sm 150.36 Sm.upf
Dy 162.50 Dy.upf
CELL_PARAMETERS angstrom
9.569 -1.847 0.000
9.569 1.847 0.000
-4.244 0.000 8.837
ATOMIC_POSITIONS angstrom
La -1.086 0.000 8.834
La 15.980 0.000 0.003
Nd 5.333 0.000 2.963
Nd 9.560 0.000 5.874
Sm -1.039 0.000 2.924
Sm 3.202 0.000 5.879
Sm 11.691 0.000 2.958
Sm 15.932 0.000 5.913
Dy 9.569 0.000 0.000

---

[5]
! NaBPb (GGA-PBE, optimized geometry); values from VASP
! * DFT formation energy: 409 meV per atom
! * VASP energy: -3.49 eV per atom
! * space group: P1, No. 1
! * crystal system: triclinic
&SYSTEM
  ibrav = 0, nat = 6, ntyp = 3
/
ATOMIC_SPECIES
Na 22.99 Na.upf
B 10.81 B.upf
Pb 207.20 Pb.upf
CELL_PARAMETERS angstrom
3.810 0.000 0.000
-0.022 6.344 0.000
-1.812 -2.369 5.962
ATOMIC_POSITIONS angstrom
Na 0.000 0.000 0.000
Na 0.004 1.753 3.298
B 1.911 1.213 1.509
B 1.909 -0.140 2.264
Pb -0.014 4.907 3.071
Pb 1.920 3.271 0.493

---

[6]
! PrNdYCd (GGA-PBE, optimized geometry); values from VASP
! * DFT formation energy: -33 meV per atom
! * distance to the lowest polymorph of the same formula: 126 meV/atom
! * VASP energy: -4.26 eV per atom
! * space group: F-43m, No. 216
! * crystal system: cubic
&SYSTEM
  ibrav = 0, nat = 4, ntyp = 4
/
ATOMIC_SPECIES
Pr 140.91 Pr.upf
Nd 144.24 Nd.upf
Y 88.91 Y.upf
Cd 112.41 Cd.upf
CELL_PARAMETERS angstrom
0.000 3.956 3.956
3.956 0.000 3.956
3.956 3.956 0.000
ATOMIC_POSITIONS angstrom
Pr 0.000 0.000 0.000
Nd 3.956 3.956 3.956
Y 1.978 1.978 1.978
Cd 5.935 5.935 5.935

---

[7]
! NdPuTe2 (GGA-PBE, optimized geometry); values from VASP
! * distance to the lowest polymorph of the same formula: 135 meV/atom
! * VASP energy: -7.49 eV per atom
! * space group: P4/mmm, No. 123
! * crystal system: tetragonal
&SYSTEM
  ibrav = 0, nat = 4, ntyp = 3
/
ATOMIC_SPECIES
Nd 144.24 Nd.upf
Pu 244.00 Pu.upf
Te 127.60 Te.upf
CELL_PARAMETERS angstrom
3.840 0.000 0.000
0.000 3.840 0.000
0.000 0.000 7.723
ATOMIC_POSITIONS angstrom
Nd 0.000 0.000 0.000
Pu 0.000 0.000 3.861
Te 1.920 1.920 1.950
Te 1.920 1.920 5.773

---

[8]
! AsIrOs2 (GGA-PBE, optimized geometry); values from VASP
! * DFT formation energy: 746 meV per atom
! * VASP energy: -8.25 eV per atom
! * space group: F-43m, No. 216
! * crystal system: cubic
&SYSTEM
  ibrav = 0, nat = 4, ntyp = 3
/
ATOMIC_SPECIES
As 74.92 As.upf
Ir 192.22 Ir.upf
Os 190.23 Os.upf
CELL_PARAMETERS angstrom
0.000 3.121 3.121
3.121 0.000 3.121
3.121 3.121 0.000
ATOMIC_POSITIONS angstrom
As 0.000 0.000 0.000
Ir 4.681 4.681 4.681
Os 1.560 1.560 1.560
Os 3.121 3.121 3.121

---

[9]
! P2OsPdAu (GGA-PBE, optimized geometry); values from VASP
! * DFT formation energy: 1861 meV per atom
! * VASP energy: -4.24 eV per atom
! * space group: P4/mmm, No. 123
! * crystal system: tetragonal
&SYSTEM
  ibrav = 0, nat = 5, ntyp = 4
/
ATOMIC_SPECIES
P 30.97 P.upf
Os 190.23 Os.upf
Pd 106.42 Pd.upf
Au 196.97 Au.upf
CELL_PARAMETERS angstrom
4.645 0.000 0.000
0.000 4.645 0.000
0.000 0.000 5.109
ATOMIC_POSITIONS angstrom
P 0.000 2.323 0.000
P 2.323 0.000 0.000
Os 0.000 0.000 2.555
Pd 2.323 2.323 2.555
Au 0.000 0.000 0.000

---

[10]
! SrZnMo2 (GGA-PBE, optimized geometry); values from VASP
! * DFT formation energy: 723 meV per atom
! * VASP energy: -5.43 eV per atom
! * space group: C2/m, No. 12
! * crystal system: monoclinic
&SYSTEM
  ibrav = 0, nat = 4, ntyp = 3
/
ATOMIC_SPECIES
Sr 87.62 Sr.upf
Zn 65.41 Zn.upf
Mo 95.94 Mo.upf
CELL_PARAMETERS angstrom
5.641 -1.384 0.000
5.641 1.384 0.000
-1.550 0.000 4.950
ATOMIC_POSITIONS angstrom
Sr 0.000 0.000 0.000
Zn 4.866 0.000 2.475
Mo 1.382 0.000 3.555
Mo 8.349 0.000 1.394

---

[11]
! AgB6Cl6 (GGA-PBE, optimized geometry); values from VASP
! * VASP energy: -4.82 eV per atom
! * space group: Pa-3, No. 205
! * crystal system: cubic
&SYSTEM
  ibrav = 0, nat = 104, ntyp = 3
/
ATOMIC_SPECIES
Ag 107.87 Ag.upf
B 10.81 B.upf
Cl 35.45 Cl.upf
CELL_PARAMETERS angstrom
12.646 0.000 0.000
0.000 12.646 0.000
0.000 0.000 12.646
ATOMIC_POSITIONS angstrom
Ag 1.761 1.761 1.761
Ag 1.761 4.562 8.084
Ag 4.562 8.084 1.761
Ag 4.562 10.885 8.084
Ag 8.084 1.761 4.562
Ag 8.084 4.562 10.885
Ag 10.885 8.084 4.562
Ag 10.885 10.885 10.885
B 0.367 6.684 11.013
B 0.361 7.956 12.279
B 0.361 11.013 5.956
B 0.367 12.285 4.690
B 0.862 1.173 5.455
B 0.862 5.150 11.778
B 0.868 7.185 1.173
B 0.868 11.784 7.496
B 1.173 0.868 7.185
B 1.173 5.455 0.862
B 1.633 6.690 12.285
B 1.633 12.279 5.962
B 4.690 0.367 12.285
B 4.690 5.956 5.962
B 5.150 7.191 7.185
B 5.150 11.778 0.862
B 5.455 0.862 1.173
B 5.455 5.461 7.496
B 5.461 7.496 5.455
B 5.461 11.473 11.778
B 5.956 0.361 11.013
B 5.962 1.633 12.279
B 5.962 4.690 5.956
B 5.956 5.962 4.690
B 6.690 6.684 7.956
B 6.684 7.956 6.690
B 6.684 11.013 0.367
B 6.690 12.285 1.633
B 7.185 1.173 0.868
B 7.185 5.150 7.191
B 7.191 7.185 5.150
B 7.191 11.784 11.473
B 7.496 0.868 11.784
B 7.496 5.455 5.461
B 7.956 6.690 6.684
B 7.956 12.279 0.361
B 11.013 0.367 6.684
B 11.013 5.956 0.361
B 11.473 7.191 11.784
B 11.473 11.778 5.461
B 11.778 0.862 5.150
B 11.778 5.461 11.473
B 11.784 7.496 0.868
B 11.784 11.473 7.191
B 12.279 0.361 7.956
B 12.285 1.633 6.690
B 12.285 4.690 0.367
B 12.279 5.962 1.633
Cl 0.664 9.273 5.605
Cl 0.664 9.696 11.928
Cl 0.718 6.987 9.273
Cl 0.718 11.982 2.950
Cl 1.743 2.435 4.540
Cl 1.743 3.888 10.863
Cl 1.783 8.066 2.435
Cl 1.783 10.903 8.758
Cl 2.435 1.783 8.066
Cl 2.435 4.540 1.743
Cl 2.950 0.718 11.982
Cl 2.950 5.605 5.659
Cl 3.373 7.041 11.982
Cl 3.373 11.928 5.659
Cl 3.888 8.106 8.066
Cl 3.888 10.863 1.743
Cl 4.540 1.743 2.435
Cl 4.540 4.580 8.758
Cl 4.580 8.758 4.540
Cl 4.580 10.212 10.863
Cl 5.605 0.664 9.273
Cl 5.605 5.659 2.950
Cl 5.659 2.950 5.605
Cl 5.659 3.373 11.928
Cl 6.987 9.273 0.718
Cl 6.987 9.696 7.041
Cl 7.041 6.987 9.696
Cl 7.041 11.982 3.373
Cl 8.066 2.435 1.783
Cl 8.066 3.888 8.106
Cl 8.106 8.066 3.888
Cl 8.106 10.903 10.212
Cl 8.758 1.783 10.903
Cl 8.758 4.540 4.580
Cl 9.273 0.718 6.987
Cl 9.273 5.605 0.664
Cl 9.696 7.041 6.987
Cl 9.696 11.928 0.664
Cl 10.212 8.106 10.903
Cl 10.212 10.863 4.580
Cl 10.863 1.743 3.888
Cl 10.863 4.580 10.212
Cl 10.903 8.758 1.783
Cl 10.903 10.212 8.106
Cl 11.928 0.664 9.696
Cl 11.928 5.659 3.373
Cl 11.982 2.950 0.718
Cl 11.982 3.373 7.041

---

[12]
! SbAs2Pb (GGA-PBE, optimized geometry); values from VASP
! * distance to the lowest polymorph of the same formula: 63 meV/atom
! * VASP energy: -4.19 eV per atom
! * space group: R3m, No. 160
! * crystal system: trigonal
&SYSTEM
  ibrav = 0, nat = 4, ntyp = 3
/
ATOMIC_SPECIES
Sb 121.76 Sb.upf
As 74.92 As.upf
Pb 207.20 Pb.upf
CELL_PARAMETERS angstrom
2.065 1.192 7.206
-2.065 1.192 7.206
0.000 -2.385 7.206
ATOMIC_POSITIONS angstrom
Sb 0.000 0.000 0.000
As 0.000 0.000 10.448
As 0.000 0.000 15.887
Pb 0.000 0.000 4.814

---

no.,Fermi-level density of states (states/eV/f.u.),volume (Å³/f.u.),total magnetic moment (μB per formula unit)
1,10.9,109.39,0.0
2,2.8,97.97,0.0
3,10.9,208.29,5.8
4,12.7,312.31,0.0
5,0.6,72.06,0.0
6,5.8,123.87,0.0
7,6.8,113.87,6.5
8,4.3,60.77,1.6
9,5.6,110.26,2.6
10,3.6,77.26,0.0
11,0.0,252.80,0.0
12,2.8,106.49,0.0